Entry 1
# TbCrC

A geometry-optimized TbCrC structure (PBE, the Alexandria database).

Computed properties:
- Theoretical density: 8.307 g/cm³
- Volume: 45 Å³ per cell
- Magnetic moment: 1.17 μB/cell

```
data_TbCrC
_cell_length_a 3.4665
_cell_length_b 3.4665
_cell_length_c 4.2821
_cell_angle_alpha 90.00
_cell_angle_beta 90.00
_cell_angle_gamma 120.00
_symmetry_space_group_name_H-M 'P -6 m 2'
_symmetry_Int_Tables_number 187
_symmetry_space_group_name_Hall 'P -6 2'
loop_
_atom_site_label
_atom_site_type_symbol
_atom_site_fract_x
_atom_site_fract_y
_atom_site_fract_z
Tb1 Tb 0.0000 0.0000 0.0000
Cr1 Cr 0.6667 0.3333 0.5000
C1 C 0.3333 0.6667 0.5000
```

=====

Entry 2
# TbCrC

A geometry-optimized TbCrC structure (PBE, the Alexandria database).

Computed properties:
- Theoretical density: 8.779 g/cm³
- Volume: 84 Å³ per cell
- Magnetic moment: 1.85 μB/cell

```
data_TbCrC
_cell_length_a 4.0444
_cell_length_b 4.0444
_cell_length_c 5.1560
_cell_angle_alpha 90.00
_cell_angle_beta 90.00
_cell_angle_gamma 90.00
_symmetry_space_group_name_H-M 'P 4/n m m'
_symmetry_Int_Tables_number 129
loop_
_symmetry_equiv_pos_as_xyz
'x,y,z'
'-x,-y,-z'
'-y+1/2,x,z'
'y+1/2,-x,-z'
'-x+1/2,-y+1/2,z'
'x+1/2,y+1/2,-z'
'y,-x+1/2,z'
'-y,x+1/2,-z'
'x+1/2,-y,-z'
'-x+1/2,y,z'
'-y,-x,-z'
'y,x,z'
'-x,y+1/2,-z'
'x,-y+1/2,z'
'y+1/2,x+1/2,-z'
'-y+1/2,-x+1/2,z'
loop_
_atom_site_label
_atom_site_type_symbol
_atom_site_fract_x
_atom_site_fract_y
_atom_site_fract_z
Tb1 Tb 0.2500 0.2500 0.0496
Cr1 Cr 0.2500 0.7500 0.5000
C1 C 0.2500 0.2500 0.5601
```

=====

Verdict on stability: entry 2 comes out on top.